{
  "formula": "Rb2LiZnF6",
  "functional": "PBE-GGA",
  "state": "optimized geometry",
  "de_polymorph_ev_per_atom": 0.0025,
  "cell": [[2.8333, 1.6358, 4.6394], [-2.8333, 1.6358, 4.6394], [0.0000, -3.2716, 4.6394]],
  "species": ["Rb", "Rb", "Li", "Zn", "F", "F", "F", "F", "F", "F"],
  "fractional_positions": [[0.2500, 0.2500, 0.2500], [0.7500, 0.7500, 0.7500], [0.0000, 0.0000, 0.0000], [0.5000, 0.5000, 0.5000], [0.2537, 0.2537, 0.7459], [0.2537, 0.7459, 0.2537], [0.2541, 0.7463, 0.7463], [0.7459, 0.2537, 0.2537], [0.7463, 0.2541, 0.7463], [0.7463, 0.7463, 0.2541]]
}

=====

{
  "formula": "Rb2LiZnF6",
  "functional": "PBE-GGA",
  "state": "optimized geometry",
  "de_polymorph_ev_per_atom": 0.0000,
  "cell": [[-2.8313, 2.8313, 4.0423], [2.8313, -2.8313, 4.0423], [2.8313, 2.8313, -4.0423]],
  "species": ["Rb", "Rb", "Li", "Zn", "F", "F", "F", "F", "F", "F"],
  "fractional_positions": [[0.2500, 0.7500, 0.5000], [0.7500, 0.2500, 0.5000], [0.0000, 0.0000, 0.0000], [0.5000, 0.5000, 0.0000], [0.2528, 0.2528, 0.5056], [0.2528, 0.7472, 0.0000], [0.2565, 0.2565, 0.0000], [0.7435, 0.7435, 0.0000], [0.7472, 0.2528, 0.0000], [0.7472, 0.7472, 0.4944]]
}

=====

{
  "formula": "Rb2LiZnF6",
  "functional": "PBE-GGA",
  "state": "optimized geometry",
  "de_polymorph_ev_per_atom": 0.0072,
  "cell": [[5.6550, 0.0000, 0.0000], [-0.0028, 5.6571, 0.0000], [-0.0002, -0.0015, 8.0079]],
  "species": ["Rb", "Rb", "Rb", "Rb", "Li", "Li", "Zn", "Zn", "F", "F", "F", "F", "F", "F", "F", "F", "F", "F", "F", "F"],
  "fractional_positions": [[0.9999, 0.9998, 0.2500], [0.0001, 0.0002, 0.7500], [0.4999, 0.5001, 0.2499], [0.5001, 0.4999, 0.7501], [0.0000, 0.5000, 0.0000], [0.5000, 0.0000, 0.5000], [0.0000, 0.5000, 0.5000], [0.5000, 0.0000, 0.0000], [0.0004, 0.4999, 0.2536], [0.9996, 0.5001, 0.7464], [0.2441, 0.2512, 0.5001], [0.2497, 0.7443, 0.5005], [0.2517, 0.7546, 0.9996], [0.2547, 0.2479, 0.9998], [0.4993, 0.0000, 0.2463], [0.5007, 0.0000, 0.7537], [0.7453, 0.7521, 0.0002], [0.7483, 0.2454, 0.0004], [0.7503, 0.2557, 0.4995], [0.7559, 0.7488, 0.4999]]
}

=====

{
  "formula": "Rb2LiZnF6",
  "functional": "PBE-GGA",
  "state": "optimized geometry",
  "de_polymorph_ev_per_atom": 0.0018,
  "cell": [[0.0000, 4.0121, 4.0121], [4.0121, 0.0000, 4.0121], [4.0121, 4.0121, 0.0000]],
  "species": ["Rb", "Rb", "Li", "Zn", "F", "F", "F", "F", "F", "F"],
  "fractional_positions": [[0.2500, 0.2500, 0.2500], [0.7500, 0.7500, 0.7500], [0.0000, 0.0000, 0.0000], [0.5000, 0.5000, 0.5000], [0.2537, 0.2537, 0.7463], [0.2537, 0.7463, 0.2537], [0.2537, 0.7463, 0.7463], [0.7463, 0.2537, 0.2537], [0.7463, 0.2537, 0.7463], [0.7463, 0.7463, 0.2537]]
}